Below is a geometry-optimized CrPbCl2 structure, with properties calculated at the GGA-PBE level.

The calculation puts the formation energy (no corrections) at -7.3 kJ/mol of atoms. Its total magnetization is 1.30 μB/atom. Its total energy is -4.332 eV per atom. The calculation puts the energy above the most stable polymorph in this dataset at 453 meV/atom.

It has space group Fm-3m (No. 225), with a = 7.253 Å, b = 7.253 Å, c = 7.253 Å, α = 90.00°, β = 90.00° and γ = 90.00°. The asymmetric unit holds Cr at (0.000, 0.000, 0.000), Pb at (0.000, 0.000, 0.500) and Cl at (0.250, 0.250, 0.250).

Below is a geometry-optimized InGaHg structure, with properties calculated at the GGA-PBE level.

The energy relative to the elements comes out at 0.0617 eV per atom. Its total magnetization is 0.00 μB/atom. Its total energy is -1.961 eV per atom.

It has space group P1 (No. 1), with a = 3.380 Å, b = 5.254 Å, c = 8.443 Å, α = 97.25°, β = 101.22° and γ = 90.06°. The asymmetric unit holds In at (0.000, 0.000, 0.000), In at (0.184, 0.070, 0.374), Ga at (0.343, 0.785, 0.689), Ga at (0.841, 0.287, 0.685), Hg at (0.501, 0.499, 0.002) and Hg at (0.683, 0.571, 0.373).